Material: Np2CrCo3As4
Method: DFT, PBE-GGA
State: relaxed

```
Np2CrCo3As4
1.0
4.1220 0.0000 0.0000
0.0000 4.1220 0.0000
0.0000 0.0000 9.4335
Np Cr Co As
2 1 3 4
Direct
0.0000 0.5000 0.2472 Np
0.5000 0.0000 0.7528 Np
0.0000 0.0000 0.5000 Cr
0.0000 0.5000 0.8870 Co
0.5000 0.0000 0.1130 Co
0.5000 0.5000 0.5000 Co
0.0000 0.0000 0.0000 As
0.0000 0.5000 0.6423 As
0.5000 0.0000 0.3577 As
0.5000 0.5000 0.0000 As
```

total energy = -7.9396 eV/atom
V = 16.03 Å³/atom
symmetry = No. 115